Compound: Ac2TlIrAu
Source: Alexandria
Functional: PBE
Structure: relaxed

Cell lengths 4.4228, 8.6655, 8.3214 Å; angles 114.80, 90.00, 90.00 degrees
Closest atoms and distances in Å follow each position.
Positions (direct):
Tl (0.7500, 0.4547, 0.3433)  1 Ir 2.87
Tl (0.2500, 0.5453, 0.6567)  1 Ir 2.87
Au (0.2500, 0.7144, 0.3099)  2 Tl 3.25, 6 Ac 3.26-3.61
Au (0.7500, 0.2856, 0.6901)  2 Tl 3.25, 6 Ac 3.26-3.61
Ac (0.7500, 0.7177, 0.0232)  3 Ir 3.07-3.15, 2 Au 3.26
Ac (0.2500, 0.2823, 0.9768)  3 Ir 3.07-3.15, 2 Au 3.26
Ac (0.2500, 0.1209, 0.3569)  3 Ir 3.08-3.42, 3 Au 3.36-3.38
Ac (0.7500, 0.8791, 0.6431)  3 Ir 3.08-3.42, 3 Au 3.36-3.38
Ir (0.2500, 0.8951, 0.9065)  1 Tl 2.87, 2 Ir 2.87, 5 Ac 3.07-3.15
Ir (0.7500, 0.1049, 0.0935)  1 Tl 2.87, 2 Ir 2.87, 5 Ac 3.07-3.15

Properties
**SG**: P2_1/m, No. 11
**Energy of formation**: -3.08 eV/f.u.

Compound: Hf6Cd2Co
Source: Alexandria
Functional: PBE
Structure: relaxed

Cell lengths 3.2785, 8.1038, 8.1053 Å; angles 119.99, 90.00, 90.00 degrees
Closest atoms and distances in Å follow each position.
Positions (direct):
Cd (0.0000, 0.3334, 0.6665)  9 Hf 3.01-3.14, 2 Cd 3.28
Cd (0.0000, 0.6669, 0.3335)  9 Hf 3.01-3.14, 2 Cd 3.28
Hf (0.0000, 0.9999, 0.2409)  2 Co 2.55
Hf (0.5000, 0.3834, 0.3832)  4 Cd 3.01, 1 Co 3.11, 6 Hf 3.18-3.28
Hf (0.0000, 0.7590, 0.7591)  2 Co 2.55
Hf (0.0000, 0.2411, 0.0000)  2 Co 2.55
Hf (0.5000, 0.0002, 0.6168)  4 Cd 3.01, 1 Co 3.11, 6 Hf 3.18-3.28
Hf (0.5000, 0.6163, 0.0000)  4 Cd 3.01, 1 Co 3.11, 6 Hf 3.18-3.28
Co (0.5000, 0.9999, 0.0000)  6 Hf 2.55

Properties
**SG**: P-62m, No. 189
**Energy of formation**: -0.71 eV/f.u.

Compound: KPaTe3
Source: Alexandria
Functional: PBE
Structure: relaxed

Cell lengths 6.2117, 6.2117, 9.7641 Å; angles 103.74, 103.74, 104.67 degrees
Closest atoms and distances in Å follow each position.
Positions (direct):
Te (0.9533, 0.7901, 0.7434)  2 Pa 3.09, 1 Te 3.31
Te (0.6901, 0.1901, 0.8802)  4 Pa 3.29, 2 Te 3.48-3.49
Te (0.2902, 0.4533, 0.7434)  2 Pa 3.09, 1 Te 3.31
Te (0.3099, 0.8099, 0.1198)  4 Pa 3.29, 2 Te 3.48-3.49
Te (0.7098, 0.5467, 0.2566)  2 Pa 3.09, 1 Te 3.31
Te (0.0467, 0.2099, 0.2566)  2 Pa 3.09, 1 Te 3.31
Pa (0.7500, 0.7500, 0.0000)  8 Te 3.09-3.29
Pa (0.2500, 0.2500, 0.0000)  8 Te 3.09-3.29
K (0.7213, 0.2213, 0.5000)  1 K 3.36, 4 Te 3.47
K (0.2787, 0.7787, 0.5000)  1 K 3.36, 4 Te 3.47

Properties
**SG**: Fmmm, No. 69
**Offset from the most stable computed form**: 0.396 eV per formula unit
**Uncorrected formation energy**: -815 meV per atom

Compound: Ce2ZnNi2
Source: Alexandria
Functional: PBE
Structure: relaxed

Cell lengths 5.2448, 5.2448, 5.2448 Å; angles 130.42, 117.10, 84.03 degrees
Closest atoms and distances in Å follow each position.
Positions (direct):
Ce (0.3006, 0.8006, 0.5000)  6 Ni 2.75-2.99
Ce (0.6994, 0.1994, 0.5000)  6 Ni 2.75-2.99
Ni (0.7362, 0.5000, 0.2362)  2 Ni 2.58-2.89, 2 Zn 2.63, 2 Ce 2.75
Ni (0.2638, 0.5000, 0.7638)  2 Ni 2.58-2.89, 2 Zn 2.63, 2 Ce 2.75
Zn (0.0000, 0.0000, 0.0000)  4 Ni 2.63

Properties
**SG**: Immm, No. 71
**Energy of formation**: -1.76 eV/f.u.

Number 1: total DFT energy (no corrections) -5.16 eV per atom. Number 2: total DFT energy (no corrections) -7.71 eV per atom. Number 3: total DFT energy (no corrections) -4.82 eV per atom. Number 4: total DFT energy (no corrections) -5.29 eV per atom.